[1]
The following is a PBE calculation of a relaxed Rb2ReNi crystal, from the Alexandria database.

Cell and atoms, written as POSCAR:
```
Rb2ReNi
1.0
0.0000 4.1191 4.1191
4.1191 0.0000 4.1191
4.1191 4.1191 0.0000
Rb Re Ni
2 1 1
Cartesian
2.0595 2.0595 2.0595 Rb
6.1786 6.1786 6.1786 Rb
0.0000 0.0000 0.0000 Re
4.1191 4.1191 4.1191 Ni
```

Output
Energy of formation = 2.0425 eV/atom
ΔE to the lowest computed polymorph = 687 meV/atom
Symmetry = No. 225
Total magnetization = 4.993 μB per cell



[2]
The following is a PBE calculation of a relaxed RbReNi2 crystal, from the Alexandria database.

Cell and atoms, written as POSCAR:
```
RbReNi2
1.0
0.0000 3.2740 3.2740
3.2740 0.0000 3.2740
3.2740 3.2740 0.0000
Rb Re Ni
1 1 2
Cartesian
0.0000 0.0000 0.0000 Rb
3.2740 3.2740 3.2740 Re
1.6370 1.6370 1.6370 Ni
4.9109 4.9109 4.9109 Ni
```

Output
Energy of formation = 1.6531 eV/atom
ΔE to the lowest computed polymorph = 418 meV/atom
Symmetry = No. 225
Total magnetization = 3.689 μB per cell



[3]
The following is a PBE calculation of a relaxed RbReNi3 crystal, from the Alexandria database.

Cell and atoms, written as POSCAR:
```
RbReNi3
1.0
4.5416 0.0000 0.0000
0.0000 4.5416 0.0000
0.0000 0.0000 4.5416
Rb Re Ni
1 1 3
Cartesian
0.0000 0.0000 0.0000 Rb
2.2708 2.2708 2.2708 Re
0.0000 0.0000 2.2708 Ni
0.0000 2.2708 0.0000 Ni
2.2708 0.0000 0.0000 Ni
```

Output
Energy of formation = 2.7584 eV/atom
ΔE to the lowest computed polymorph = 1616 meV/atom
Symmetry = No. 221
Total magnetization = 4.453 μB per cell



[4]
The following is a PBE calculation of a relaxed RbRe2Ni crystal, from the Alexandria database.

Cell and atoms, written as POSCAR:
```
RbRe2Ni
1.0
-2.4198 2.4198 8.6786
2.4198 -2.4198 8.6786
2.4198 2.4198 -8.6786
Rb Re Ni
2 4 2
Cartesian
2.4198 1.2099 2.1697 Rb
0.0000 1.2099 6.5090 Rb
0.0000 0.0000 0.0000 Re
1.2099 1.2099 -4.3393 Re
1.2099 -1.2099 4.3393 Re
0.0000 2.4198 0.0000 Re
2.4198 -1.2099 6.5090 Ni
0.0000 3.6298 2.1697 Ni
```

Output
Energy of formation = 1.7412 eV/atom
ΔE to the lowest computed polymorph = 0 meV/atom
Symmetry = No. 141
Total magnetization = 0.000 μB per cell



[5]
The following is a PBE calculation of a relaxed RbSrRe2Ni crystal, from the Alexandria database.

Cell and atoms, written as POSCAR:
```
RbSrRe2Ni
1.0
5.1172 0.0000 0.0000
0.0000 5.1172 0.0000
0.0000 0.0000 5.7448
Rb Sr Re Ni
1 1 2 1
Cartesian
0.0000 0.0000 0.0000 Rb
0.0000 0.0000 2.8724 Sr
0.0000 2.5586 2.8724 Re
2.5586 0.0000 2.8724 Re
2.5586 2.5586 0.0000 Ni
```

Output
Energy of formation = 3.2226 eV/atom
Symmetry = No. 123
Total magnetization = 4.955 μB per cell



[6]
The following is a PBE calculation of a relaxed RbTaRe2Ni crystal, from the Alexandria database.

Cell and atoms, written as POSCAR:
```
RbTaRe2Ni
1.0
4.6256 0.0000 0.0000
0.0000 4.6256 0.0000
0.0000 0.0000 4.6680
Rb Ta Re Ni
1 1 2 1
Cartesian
0.0000 0.0000 0.0000 Rb
0.0000 0.0000 2.3340 Ta
0.0000 2.3128 0.0000 Re
2.3128 0.0000 0.0000 Re
2.3128 2.3128 2.3340 Ni
```

Output
Energy of formation = 3.8553 eV/atom
Symmetry = No. 123
Total magnetization = 0.000 μB per cell



[7]
The following is a PBE calculation of a relaxed Rb2NiRh crystal, from the Alexandria database.

Cell and atoms, written as POSCAR:
```
Rb2NiRh
1.0
0.0000 3.8813 3.8813
3.8813 0.0000 3.8813
3.8813 3.8813 0.0000
Rb Ni Rh
2 1 1
Cartesian
1.9407 1.9407 1.9407 Rb
5.8220 5.8220 5.8220 Rb
0.0000 0.0000 0.0000 Ni
3.8813 3.8813 3.8813 Rh
```

Output
Energy of formation = 1.2604 eV/atom
ΔE to the lowest computed polymorph = 86 meV/atom
Symmetry = No. 225
Total magnetization = 0.770 μB per cell



[8]
The following is a PBE calculation of a relaxed Rb2NiRh crystal, from the Alexandria database.

Cell and atoms, written as POSCAR:
```
Rb2NiRh
1.0
-4.5816 4.5816 2.9095
4.5816 -4.5816 2.9095
4.5816 4.5816 -2.9095
Rb Ni Rh
4 2 2
Cartesian
6.8723 2.2849 -0.7274 Rb
2.2849 2.2908 0.7274 Rb
-2.2908 2.2967 2.1822 Rb
2.2967 2.2908 3.6369 Rb
4.5816 0.0000 1.4548 Ni
0.0000 0.0000 2.9095 Ni
0.0000 0.0000 0.0000 Rh
0.0000 4.5816 1.4548 Rh
```

Output
Energy of formation = 1.1741 eV/atom
ΔE to the lowest computed polymorph = 0 meV/atom
Symmetry = No. 122
Total magnetization = 2.803 μB per cell



[9]
The following is a PBE calculation of a relaxed RbNi2Rh crystal, from the Alexandria database.

Cell and atoms, written as POSCAR:
```
RbNi2Rh
1.0
0.0000 3.2439 3.2439
3.2439 0.0000 3.2439
3.2439 3.2439 0.0000
Rb Ni Rh
1 2 1
Cartesian
0.0000 0.0000 0.0000 Rb
1.6219 1.6219 1.6219 Ni
4.8658 4.8658 4.8658 Ni
3.2439 3.2439 3.2439 Rh
```

Output
Energy of formation = 1.1530 eV/atom
ΔE to the lowest computed polymorph = 364 meV/atom
Symmetry = No. 225
Total magnetization = 1.596 μB per cell



[10]
The following is a PBE calculation of a relaxed RbNi2Rh crystal, from the Alexandria database.

Cell and atoms, written as POSCAR:
```
RbNi2Rh
1.0
-2.5502 2.5502 7.7756
2.5502 -2.5502 7.7756
2.5502 2.5502 -7.7756
Rb Ni Rh
2 4 2
Cartesian
2.5502 1.2751 1.9439 Rb
0.0000 1.2751 5.8317 Rb
0.0000 0.0000 0.0000 Ni
1.2751 1.2751 -3.8878 Ni
1.2751 -1.2751 3.8878 Ni
0.0000 2.5502 0.0000 Ni
2.5502 -1.2751 5.8317 Rh
0.0000 3.8253 1.9439 Rh
```

Output
Energy of formation = 0.7889 eV/atom
ΔE to the lowest computed polymorph = 0 meV/atom
Symmetry = No. 141
Total magnetization = 2.104 μB per cell



[11]
The following is a PBE calculation of a relaxed Rb2NiRhS4 crystal, from the Alexandria database.

Cell and atoms, written as POSCAR:
```
Rb2NiRhS4
1.0
0.0000 6.7937 11.5096
2.7569 0.0000 11.5096
2.7569 6.7937 0.0000
Rb Ni Rh S
4 2 2 8
Cartesian
2.0677 5.0953 1.2682 Rb
3.4462 8.4921 7.0230 Rb
2.0677 5.0953 15.9961 Rb
3.4462 8.4921 21.7509 Rb
2.0677 5.0953 8.6322 Ni
3.4462 8.4921 14.3869 Ni
0.6892 1.6984 2.8774 Rh
4.8247 11.8889 20.1417 Rh
2.1122 2.9412 4.1151 S
3.4017 6.3380 9.8699 S
2.0232 7.2494 4.1151 S
2.0232 2.9412 13.1493 S
3.4907 10.6462 9.8699 S
3.4907 6.3380 18.9040 S
2.1122 7.2494 13.1493 S
3.4017 10.6462 18.9040 S
```

Output
Formation energy (no corrections) = -0.63 eV/atom
Symmetry = No. 70
Total magnetization = 0.000 μB per cell



[12]
The following is a PBE calculation of a relaxed Rb2Ni2RhS4 crystal, from the Alexandria database.

Cell and atoms, written as POSCAR:
```
Rb2Ni2RhS4
1.0
7.1204 -1.9287 0.0000
7.1204 1.9287 0.0000
-2.3550 0.0000 6.8730
Rb Ni Rh S
2 2 1 4
Cartesian
1.7378 0.0000 0.3481 Rb
10.1480 0.0000 6.5249 Rb
3.2078 0.0000 3.4864 Ni
8.6780 0.0000 3.3866 Ni
-1.1775 0.0000 3.4365 Rh
1.1136 0.0000 4.3695 S
5.1410 0.0000 4.7435 S
6.7447 0.0000 2.1295 S
10.7721 0.0000 2.5035 S
```

Output
Formation energy (no corrections) = -0.60 eV/atom
Symmetry = No. 12
Total magnetization = 1.208 μB per cell